Below is an optimized crystal structure of Rb2PdO4, with properties calculated at the PBE-GGA level.

abc: 7.252 7.252 7.252
angles: 120.00 90.00 120.00
Sites, in units of the cell vectors:
1 Rb 0.875 0.250 0.625
2 Rb 0.375 0.750 0.125
3 Rb 0.375 0.750 0.625
4 Rb 0.375 0.250 0.625
5 O 0.688 0.792 0.896
6 O 0.646 0.708 0.354
7 O 0.062 0.708 0.354
8 O 0.104 0.792 0.896
9 O 0.646 0.292 0.938
10 O 0.646 0.292 0.354
11 O 0.104 0.208 0.312
12 O 0.104 0.208 0.896
13 Pd 0.750 0.500 0.250
14 Pd 0.000 0.000 0.000

## Properties
* E_tot: -4.32 eV/atom